The following is a DFT calculation (GGA-PBEsol) of an optimized crystal structure of ScZnIr.

Summary:
Formation enthalpy at 0 K in meV/atom: -205
Size of the total moment in μB/f.u.: 0.001
Energy in eV/cell: -18.62

extended XYZ file:
```
3
Lattice="-1.952 0.975 3.589 -3.644 -1.847 0.978 -0.164 -2.798 3.129" Properties=species:S:1:pos:R:3 pbc="T T T"
Ir 0.000 0.000 0.000
Sc -2.880 -1.835 3.848
Zn -1.440 -0.918 1.924
```